VASP calculation (meta-GGA SCAN) on a PBEsol-optimized structure of KGa2Sb2.

## Properties
E = -23.383 eV per atom
ΔE_f (raw) = -0.2743 eV per atom
Symmetry = I4/mmm

Unit cell a=4.542 b=4.542 c=7.986 alpha=106.52 beta=106.52 gamma=90.00
Sites, in units of the cell vectors:
Sb: 0.359 0.359 0.717
Sb: 0.641 0.641 0.283
K: 0.000 0.000 0.000
Ga: 0.750 0.250 0.500
Ga: 0.250 0.750 0.500

---

VASP calculation (meta-GGA SCAN) on a PBEsol-optimized structure of LiVPHO5.

## Properties
E = -9.512 eV per atom
Symmetry = P-1

Unit cell a=5.328 b=6.170 c=6.453 alpha=104.72 beta=105.35 gamma=104.22
Sites, in units of the cell vectors:
O: 0.822 0.406 0.613
O: 0.348 0.293 0.162
O: 0.255 0.644 0.035
O: 0.824 0.086 0.236
O: 0.652 0.707 0.838
O: 0.178 0.594 0.387
O: 0.331 0.308 0.634
O: 0.745 0.356 0.965
O: 0.176 0.914 0.764
O: 0.669 0.692 0.366
H: 0.652 0.949 0.154
H: 0.348 0.051 0.846
Li: 0.000 0.000 0.000
Li: 0.000 0.000 0.500
V: 0.230 0.611 0.718
V: 0.770 0.389 0.282
P: 0.358 0.556 0.232
P: 0.642 0.444 0.768

---

VASP calculation (meta-GGA SCAN) on a PBEsol-optimized structure of RhSe3F.

## Properties
E = -18.668 eV per atom
ΔE_f (raw) = 0.8413 eV per atom
Symmetry = Pm-3m

Unit cell a=4.465 b=4.465 c=4.465 alpha=90.00 beta=90.00 gamma=90.00
Sites, in units of the cell vectors:
Se: 0.500 0.000 0.000
Se: 0.000 0.500 0.000
Se: 0.000 0.000 0.500
Rh: 0.500 0.500 0.500
F: 0.000 0.000 0.000

---

VASP calculation (meta-GGA SCAN) on a PBEsol-optimized structure of Li2PIr.

## Properties
E = -22.197 eV per atom
Symmetry = Cm

Unit cell a=2.951 b=4.327 c=4.502 alpha=107.51 beta=90.00 gamma=109.94
Sites, in units of the cell vectors:
Ir: 0.229 0.457 0.672
Li: 0.767 0.534 0.208
Li: 0.004 0.007 0.039
P: 0.501 0.002 0.582